Arrangement a

This record from the Alexandria database describes crystalline Pr3YTl at its relaxed geometry. The functional is PBE.

Computed properties:
- total magnetization (μB per formula unit) = 0.00

The structure in CIF format:
```
data_Pr3YTl
_cell_length_a 12.4604
_cell_length_b 5.6512
_cell_length_c 10.0162
_cell_angle_alpha 90.00
_cell_angle_beta 109.26
_cell_angle_gamma 90.00
_symmetry_space_group_name_H-M 'C 1 2/m 1'
_symmetry_Int_Tables_number 12
_symmetry_space_group_name_Hall '-C 2y'
loop_
_atom_site_label
_atom_site_type_symbol
_atom_site_fract_x
_atom_site_fract_y
_atom_site_fract_z
_atom_site_occupancy
Pr1 Pr 0.1365 0.0000 0.1020 1
Pr2 Pr 0.1533 0.5000 0.5318 1
Pr3 Pr 0.2149 0.0000 0.7841 1
Y1 Y 0.0438 0.5000 0.8498 1
Tl1 Tl 0.0542 0.0000 0.3767 1
```

Arrangement b

This record from the Alexandria database describes crystalline Pr3YTl at its relaxed geometry. The functional is PBE.

Computed properties:
- total magnetization (μB per formula unit) = 0.00

The structure in CIF format:
```
data_Pr3YTl
_cell_length_a 4.9269
_cell_length_b 26.3289
_cell_length_c 4.9402
_cell_angle_alpha 90.00
_cell_angle_beta 90.00
_cell_angle_gamma 90.00
_symmetry_space_group_name_H-M 'C m c m'
_symmetry_Int_Tables_number 63
_symmetry_space_group_name_Hall '-C 2c 2'
loop_
_atom_site_label
_atom_site_type_symbol
_atom_site_fract_x
_atom_site_fract_y
_atom_site_fract_z
_atom_site_occupancy
Pr1 Pr 0.0000 0.0530 0.2500 1
Pr2 Pr 0.0000 0.2512 0.2500 1
Pr3 Pr 0.0000 0.4447 0.2500 1
Y1 Y 0.0000 0.3485 0.7500 1
Tl1 Tl 0.0000 0.1532 0.7500 1
```

The data favor arrangement b; the next most stable structure lies 2.3 kJ/mol of atoms above it.

Arrangement a

This record from the Alexandria database describes crystalline Pr12Y7Tl at its relaxed geometry. The functional is PBE.

Computed properties:
- total magnetization (μB per formula unit) = 1.56

The structure in CIF format:
```
data_Pr12Y7Tl
_cell_length_a 12.4667
_cell_length_b 12.4667
_cell_length_c 15.3898
_cell_angle_alpha 90.00
_cell_angle_beta 90.00
_cell_angle_gamma 120.00
_symmetry_space_group_name_H-M 'R -3'
_symmetry_Int_Tables_number 148
_symmetry_space_group_name_Hall '-R 3'
loop_
_atom_site_label
_atom_site_type_symbol
_atom_site_fract_x
_atom_site_fract_y
_atom_site_fract_z
_atom_site_occupancy
Pr1 Pr 0.0253 0.4453 0.2095 1
Pr2 Pr 0.0591 0.5914 0.5844 1
Y1 Y 0.0000 0.0000 0.0000 1
Y2 Y 0.0479 0.1834 0.3060 1
Tl1 Tl 0.0000 0.0000 0.5000 1
```

Arrangement b

This record from the Alexandria database describes crystalline Pr12Y7Tl at its relaxed geometry. The functional is PBE.

Computed properties:
- total magnetization (μB per formula unit) = 0.00

The structure in CIF format:
```
data_Pr12Y7Tl
_cell_length_a 11.7156
_cell_length_b 11.7156
_cell_length_c 11.7156
_cell_angle_alpha 90.00
_cell_angle_beta 90.00
_cell_angle_gamma 90.00
_symmetry_space_group_name_H-M 'I m -3'
_symmetry_Int_Tables_number 204
_symmetry_space_group_name_Hall '-I 2 2 3'
loop_
_atom_site_label
_atom_site_type_symbol
_atom_site_fract_x
_atom_site_fract_y
_atom_site_fract_z
_atom_site_occupancy
Pr1 Pr 0.0000 0.2192 0.2182 1
Y1 Y 0.0000 0.0000 0.5000 1
Y2 Y 0.2500 0.2500 0.2500 1
Tl1 Tl 0.0000 0.0000 0.0000 1
```

The data favor arrangement a; the next most stable structure lies 49.5 kJ/mol of atoms above it.

Arrangement a

This record from the Alexandria database describes crystalline Pr3TlZn at its relaxed geometry. The functional is PBE.

Computed properties:
- total magnetization (μB per formula unit) = 0.64

The structure in CIF format:
```
data_Pr3TlZn
_cell_length_a 7.6368
_cell_length_b 7.6368
_cell_length_c 7.6368
_cell_angle_alpha 90.00
_cell_angle_beta 90.00
_cell_angle_gamma 90.00
_symmetry_space_group_name_H-M 'P m -3 m'
_symmetry_Int_Tables_number 221
_symmetry_space_group_name_Hall '-P 4 2 3'
loop_
_atom_site_label
_atom_site_type_symbol
_atom_site_fract_x
_atom_site_fract_y
_atom_site_fract_z
_atom_site_occupancy
Pr1 Pr 0.0000 0.0000 0.0000 1
Pr2 Pr 0.2659 0.2659 0.2659 1
Tl1 Tl 0.0000 0.0000 0.5000 1
Zn1 Zn 0.0000 0.5000 0.5000 1
```

Arrangement b

This record from the Alexandria database describes crystalline Pr3TlZn at its relaxed geometry. The functional is PBE.

Computed properties:
- total magnetization (μB per formula unit) = 0.77

The structure in CIF format:
```
data_Pr3TlZn
_cell_length_a 5.4607
_cell_length_b 20.1785
_cell_length_c 5.4556
_cell_angle_alpha 90.00
_cell_angle_beta 90.00
_cell_angle_gamma 90.00
_symmetry_space_group_name_H-M 'C m c m'
_symmetry_Int_Tables_number 63
_symmetry_space_group_name_Hall '-C 2c 2'
loop_
_atom_site_label
_atom_site_type_symbol
_atom_site_fract_x
_atom_site_fract_y
_atom_site_fract_z
_atom_site_occupancy
Pr1 Pr 0.0000 0.0628 0.2500 1
Pr2 Pr 0.0000 0.2493 0.2500 1
Pr3 Pr 0.0000 0.4361 0.2500 1
Tl1 Tl 0.0000 0.1557 0.7500 1
Zn1 Zn 0.0000 0.3478 0.7500 1
```

The data favor arrangement b; the next most stable structure lies 1.1 kJ/mol of atoms above it.

Arrangement a

This record from the Alexandria database describes crystalline Pr8Tl2Zn at its relaxed geometry. The functional is PBE.

Computed properties:
- total magnetization (μB per formula unit) = 0.00

The structure in CIF format:
```
data_Pr8Tl2Zn
_cell_length_a 19.6647
_cell_length_b 5.3736
_cell_length_c 6.9966
_cell_angle_alpha 90.00
_cell_angle_beta 106.25
_cell_angle_gamma 90.00
_symmetry_space_group_name_H-M 'C 1 2/m 1'
_symmetry_Int_Tables_number 12
_symmetry_space_group_name_Hall '-C 2y'
loop_
_atom_site_label
_atom_site_type_symbol
_atom_site_fract_x
_atom_site_fract_y
_atom_site_fract_z
_atom_site_occupancy
Pr1 Pr 0.0116 0.0000 0.2754 1
Pr2 Pr 0.0913 0.5000 0.9665 1
Pr3 Pr 0.1541 0.5000 0.4869 1
Pr4 Pr 0.2078 0.0000 0.8109 1
Tl1 Tl 0.1779 0.0000 0.2460 1
Zn1 Zn 0.0000 0.5000 0.5000 1
```

Arrangement b

This record from the Alexandria database describes crystalline Pr8Tl2Zn at its relaxed geometry. The functional is PBE.

Computed properties:
- total magnetization (μB per formula unit) = 0.00

The structure in CIF format:
```
data_Pr8Tl2Zn
_cell_length_a 18.7678
_cell_length_b 5.4986
_cell_length_c 6.9159
_cell_angle_alpha 90.00
_cell_angle_beta 92.71
_cell_angle_gamma 90.00
_symmetry_space_group_name_H-M 'C 1 2/m 1'
_symmetry_Int_Tables_number 12
_symmetry_space_group_name_Hall '-C 2y'
loop_
_atom_site_label
_atom_site_type_symbol
_atom_site_fract_x
_atom_site_fract_y
_atom_site_fract_z
_atom_site_occupancy
Pr1 Pr 0.0284 0.0000 0.2694 1
Pr2 Pr 0.0896 0.5000 0.9080 1
Pr3 Pr 0.1643 0.5000 0.4103 1
Pr4 Pr 0.2102 0.0000 0.1044 1
Tl1 Tl 0.1575 0.0000 0.6533 1
Zn1 Zn 0.0000 0.5000 0.5000 1
```

The data favor arrangement b; the next most stable structure lies 1.7 kJ/mol of atoms above it.

Arrangement a

This record from the Alexandria database describes crystalline Pr4Tl2Zn at its relaxed geometry. The functional is PBE.

Computed properties:
- total magnetization (μB per formula unit) = 0.00

The structure in CIF format:
```
data_Pr4Tl2Zn
_cell_length_a 17.3998
_cell_length_b 3.7916
_cell_length_c 7.6089
_cell_angle_alpha 90.00
_cell_angle_beta 115.86
_cell_angle_gamma 90.00
_symmetry_space_group_name_H-M 'C 1 2/m 1'
_symmetry_Int_Tables_number 12
_symmetry_space_group_name_Hall '-C 2y'
loop_
_atom_site_label
_atom_site_type_symbol
_atom_site_fract_x
_atom_site_fract_y
_atom_site_fract_z
_atom_site_occupancy
Pr1 Pr 0.0874 0.0000 0.2355 1
Pr2 Pr 0.1199 0.5000 0.8286 1
Tl1 Tl 0.2435 0.0000 0.6872 1
Zn1 Zn 0.0000 0.0000 0.5000 1
```

Arrangement b

This record from the Alexandria database describes crystalline Pr4Tl2Zn at its relaxed geometry. The functional is PBE.

Computed properties:
- total magnetization (μB per formula unit) = 0.00

The structure in CIF format:
```
data_Pr4Tl2Zn
_cell_length_a 5.4288
_cell_length_b 5.4288
_cell_length_c 26.2593
_cell_angle_alpha 90.00
_cell_angle_beta 90.00
_cell_angle_gamma 120.00
_symmetry_space_group_name_H-M 'R -3 m'
_symmetry_Int_Tables_number 166
_symmetry_space_group_name_Hall '-R 3 2"'
loop_
_atom_site_label
_atom_site_type_symbol
_atom_site_fract_x
_atom_site_fract_y
_atom_site_fract_z
_atom_site_occupancy
Pr1 Pr 0.0000 0.0000 0.1238 1
Pr2 Pr 0.0000 0.0000 0.3750 1
Tl1 Tl 0.0000 0.0000 0.2496 1
Zn1 Zn 0.0000 0.0000 0.5000 1
```

The data favor arrangement b; the next most stable structure lies 6.5 kJ/mol of atoms above it.